Compound: TbZr2
Source: OQMD via LeMat-Bulk
Functional: PBE
Structure: optimized geometry

Cell lengths 5.2917, 10.0270, 5.8164 Å; angles 90.00, 90.00, 90.00 degrees
Closest atoms and distances in Å follow each position.
Element x y z (fractional)
Tb (0.2500, 0.0854, 0.0891)  3 Tb 3.30-3.32, 9 Zr 3.30-3.51
Tb (0.2500, 0.4146, 0.0891)  3 Tb 3.30-3.32, 9 Zr 3.30-3.51
Tb (0.7500, 0.5854, 0.9109)  3 Tb 3.30-3.32, 9 Zr 3.30-3.51
Tb (0.7500, 0.9146, 0.9109)  3 Tb 3.30-3.32, 9 Zr 3.30-3.51
Zr (0.2500, 0.2500, 0.5893)  8 Zr 3.20-3.42, 4 Tb 3.34
Zr (0.2500, 0.5909, 0.5684)  8 Zr 3.16-3.48, 4 Tb 3.30-3.51
Zr (0.2500, 0.7500, 0.1003)  6 Zr 3.16-3.48, 6 Tb 3.31-3.36
Zr (0.2500, 0.9091, 0.5684)  8 Zr 3.16-3.48, 4 Tb 3.30-3.51
Zr (0.7500, 0.0909, 0.4316)  8 Zr 3.16-3.48, 4 Tb 3.30-3.51
Zr (0.7500, 0.2500, 0.8997)  6 Zr 3.16-3.48, 6 Tb 3.31-3.36
Zr (0.7500, 0.4091, 0.4316)  8 Zr 3.16-3.48, 4 Tb 3.30-3.51
Zr (0.7500, 0.7500, 0.4107)  8 Zr 3.20-3.42, 4 Tb 3.34

Properties
- total energy (eV per atom) = -7.1730
- calculated volume (Å³/cell) = 309

---

Compound: CsUPa
Source: OQMD via LeMat-Bulk
Functional: PBE
Structure: optimized geometry

Cell lengths 5.1615, 5.1615, 5.1615 Å; angles 60.00, 60.00, 60.00 degrees
Closest atoms and distances in Å follow each position.
Element x y z (fractional)
Cs (0.0000, 0.0000, 0.0000)  4 Pa 3.16, 4 U 3.16
U (0.2500, 0.2500, 0.2500)  4 Cs 3.16
Pa (0.7500, 0.7500, 0.7500)  4 Cs 3.16

Properties
- total energy (eV per atom) = -4.8820
- calculated volume (Å³/cell) = 97